Record 1
DyMn4Tc PBE-GGA relaxed; energy relative to the elements = 1.0 eV/f.u.; mass density = 9.5 g cm⁻³
1.0
0.0000 3.4705 3.4705
3.4705 0.0000 3.4705
3.4705 3.4705 0.0000
Dy Mn Tc
1 4 1
direct
0.0000 0.0000 0.0000
0.1260 0.6247 0.6247
0.6247 0.1260 0.6247
0.6247 0.6247 0.1260
0.6247 0.6247 0.6247
0.2500 0.2500 0.2500

Record 2
LiZrI3 PBE-GGA relaxed; ΔE_f (raw) = -0.0648 eV/atom; mass density = 5.2 g cm⁻³
1.0
5.3629 0.0000 0.0000
0.0000 5.3629 0.0000
0.0000 0.0000 5.3629
Li Zr I
1 1 3
direct
0.0000 0.0000 0.0000
0.5000 0.5000 0.5000
0.0000 0.0000 0.5000
0.0000 0.5000 0.0000
0.5000 0.0000 0.0000

Record 3
KCu2P PBE-GGA relaxed; energy relative to the elements = -0.6 eV/f.u.; mass density = 3.4 g cm⁻³
1.0
4.2782 0.0000 0.0000
0.0000 4.2067 0.0000
-0.4182 0.0000 5.4262
K Cu P
1 2 1
direct
0.0000 0.0000 0.0000
0.4639 0.0000 0.5104
0.8229 0.5000 0.4822
0.3310 0.5000 0.5763

Record 4
PrDy3Ir8 PBE-GGA relaxed; energy relative to the elements = -9.2 eV/f.u.; mass density = 16.3 g cm⁻³
1.0
2.6931 1.5549 8.7902
-2.6931 1.5549 8.7902
0.0000 -3.1097 8.7902
Pr Dy Ir
1 3 8
direct
0.0000 0.0000 0.0000
0.3759 0.3759 0.3759
0.5005 0.5005 0.5005
0.8746 0.8746 0.8746
0.1876 0.1876 0.1876
0.4370 0.4370 0.9361
0.4370 0.9361 0.4370
0.4398 0.9381 0.9381
0.6878 0.6878 0.6878
0.9361 0.4370 0.4370
0.9381 0.4398 0.9381
0.9381 0.9381 0.4398

Record 5
RbTe2Pb PBE-GGA relaxed; ΔE_f (raw) = -0.4362 eV/atom; mass density = 5.7 g cm⁻³
1.0
5.6480 0.0000 0.0000
-2.8240 4.8913 0.0000
0.0000 0.0000 11.5465
Rb Te Pb
2 4 2
direct
0.0000 0.0000 0.1689
0.0000 0.0000 0.8311
0.3333 0.6667 0.3595
0.3333 0.6667 0.9819
0.6667 0.3333 0.0181
0.6667 0.3333 0.6405
0.3333 0.6667 0.6313
0.6667 0.3333 0.3687

Record 6
Th2Sc4Sn3O2 PBE-GGA relaxed; ΔE_f (raw) = -1.4728 eV/atom; mass density = 7.1 g cm⁻³
1.0
-2.2153 2.2153 12.3687
2.2153 -2.2153 12.3687
2.2153 2.2153 -12.3687
Th Sc Sn O
2 4 3 2
direct
0.1968 0.1968 0.0000
0.8032 0.8032 0.0000
0.0802 0.5802 0.5000
0.4198 0.9198 0.5000
0.5802 0.0802 0.5000
0.9198 0.4198 0.5000
0.3313 0.3313 0.0000
0.5000 0.5000 0.0000
0.6687 0.6687 0.0000
0.0904 0.0904 0.0000
0.9096 0.9096 0.0000

Record 7
PmHo2Au3 PBE-GGA relaxed; energy relative to the elements = -5.1 eV/f.u.; mass density = 12.5 g cm⁻³
1.0
3.5918 0.0000 0.0000
0.0000 3.5918 0.0000
0.0000 0.0000 11.0037
Pm Ho Au
1 2 3
direct
0.0000 0.0000 0.0000
0.0000 0.0000 0.3366
0.0000 0.0000 0.6634
0.5000 0.5000 0.1800
0.5000 0.5000 0.5000
0.5000 0.5000 0.8200

Record 8
AcCeOs PBE-GGA relaxed; relative energy among the computed polymorphs = 15 meV per atom; energy relative to the elements = -0.2 eV/f.u.; mass density = 9.9 g cm⁻³
1.0
6.2634 0.0000 0.0000
0.0000 8.6235 0.0000
-3.1262 0.0000 6.9321
Ac Ce Os
4 4 4
direct
0.2233 0.1357 0.4568
0.2233 0.3643 0.9568
0.7767 0.6357 0.0432
0.7767 0.8643 0.5432
0.2886 0.6192 0.5344
0.2886 0.8808 0.0344
0.7114 0.1192 0.9656
0.7114 0.3808 0.4656
0.4328 0.6238 0.2527
0.4328 0.8762 0.7527
0.5672 0.1238 0.2473
0.5672 0.3762 0.7473

Record 9
CoCuBr2 PBE-GGA relaxed; relative energy among the computed polymorphs = 198 meV per atom; ΔE_f (raw) = 0.1656 eV/atom; mass density = 5.5 g cm⁻³
1.0
3.4610 0.0000 0.0000
0.0000 3.4610 0.0000
0.0000 0.0000 7.1579
Co Cu Br
1 1 2
direct
0.0000 0.0000 0.0000
0.5000 0.5000 0.1742
0.0000 0.0000 0.3457
0.5000 0.5000 0.8364

Record 10
As2Pt2Pb PBE-GGA relaxed; relative energy among the computed polymorphs = 0 meV per atom; energy relative to the elements = -0.8 eV/f.u.; mass density = 11.9 g cm⁻³
1.0
-2.3159 2.3159 4.8800
2.3159 -2.3159 4.8800
2.3159 2.3159 -4.8800
As Pt Pb
2 2 1
direct
0.2500 0.7500 0.5000
0.7500 0.2500 0.5000
0.1395 0.1395 0.0000
0.8605 0.8605 0.0000
0.5000 0.5000 0.0000

Record 11
InBi2Pb2 PBE-GGA relaxed; relative energy among the computed polymorphs = 39 meV per atom; energy relative to the elements = 0.4 eV/f.u.; mass density = 9.1 g cm⁻³
1.0
5.0985 -8.1062 0.0000
5.0985 8.1062 0.0000
-2.1541 0.0000 4.1844
In Bi Pb
2 4 4
direct
0.0702 0.9298 0.7500
0.9298 0.0702 0.2500
0.2078 0.7922 0.2500
0.3482 0.6518 0.7500
0.6518 0.3482 0.2500
0.7922 0.2078 0.7500
0.1983 0.3614 0.0300
0.3614 0.1983 0.5300
0.6386 0.8017 0.4700
0.8017 0.6386 0.9700

Record 12
Tl2SiPb PBE-GGA relaxed; relative energy among the computed polymorphs = 0 meV per atom; ΔE_f (raw) = 0.2714 eV/atom; mass density = 9.6 g cm⁻³
1.0
3.3782 0.0000 0.0000
0.0000 3.3782 0.0000
0.0000 0.0000 9.7295
Tl Si Pb
2 1 1
direct
0.0000 0.0000 0.0000
0.5000 0.5000 0.2864
0.5000 0.5000 0.7785
0.0000 0.0000 0.5698

Record 13
LaZrH2Os PBE-GGA relaxed; mass density = 8.0 g cm⁻³; total DFT energy (no corrections) = -6.2780 eV/atom
1.0
4.1227 0.0000 0.0000
0.0000 4.1227 0.0000
0.0000 0.0000 5.1824
La Zr H Os
1 1 2 1
direct
0.0000 0.0000 0.0000
0.5000 0.5000 0.5000
0.0000 0.5000 0.5000
0.5000 0.0000 0.5000
0.5000 0.5000 0.0000

Record 14
MnNi4W PBE-GGA relaxed; relative energy among the computed polymorphs = 0 meV per atom; energy relative to the elements = -0.1 eV/f.u.; mass density = 11.2 g cm⁻³
1.0
4.0481 0.0000 0.0000
-2.0241 3.5058 0.0000
0.0000 0.0000 4.9433
Mn Ni W
1 4 1
direct
0.0000 0.0000 0.0000
0.3333 0.6667 0.2441
0.3333 0.6667 0.7559
0.6667 0.3333 0.2441
0.6667 0.3333 0.7559
0.0000 0.0000 0.5000

Record 15
Nd2ScTe5 PBE-GGA relaxed; ΔE_f (raw) = -1.1516 eV/atom; mass density = 5.1 g cm⁻³
1.0
3.1045 -7.5863 0.0000
3.1045 7.5863 0.0000
0.0000 0.0000 13.4235
Nd Sc Te
4 2 10
direct
0.1619 0.8381 0.5663
0.1619 0.8381 0.9337
0.8381 0.1619 0.0663
0.8381 0.1619 0.4337
0.1939 0.8061 0.2500
0.8061 0.1939 0.7500
0.0365 0.9635 0.1264
0.0365 0.9635 0.3736
0.2912 0.7088 0.7500
0.3198 0.6802 0.0871
0.3198 0.6802 0.4129
0.6802 0.3198 0.5871
0.6802 0.3198 0.9129
0.7088 0.2912 0.2500
0.9635 0.0365 0.6264
0.9635 0.0365 0.8736

Record 16
TaAg2Au6 PBE-GGA relaxed; energy relative to the elements = -0.1 eV/f.u.; mass density = 16.2 g cm⁻³
1.0
5.0892 0.0000 0.0000
-0.0071 7.6245 0.0000
-2.5363 -2.4239 8.3206
Ta Ag Au
2 4 12
direct
0.2065 0.1295 0.1061
0.7935 0.8705 0.8939
0.1085 0.1953 0.5570
0.4469 0.5327 0.2196
0.5531 0.4673 0.7804
0.8915 0.8047 0.4430
0.0124 0.4194 0.3307
0.1124 0.3551 0.8943
0.2268 0.9695 0.7794
0.3347 0.9263 0.3351
0.3357 0.7538 0.9968
0.4460 0.6925 0.5605
0.5540 0.3075 0.4395
0.6643 0.2462 0.0032
0.6653 0.0737 0.6649
0.7732 0.0305 0.2206
0.8876 0.6449 0.1057
0.9876 0.5806 0.6693

Record 17
CaSc2Se PBE-GGA relaxed; ΔE_f (raw) = -0.5208 eV/atom; mass density = 3.3 g cm⁻³
1.0
3.4369 0.0000 0.0000
0.0000 3.4369 0.0000
0.0000 0.0000 8.8118
Ca Sc Se
1 2 1
direct
0.0000 0.0000 0.0000
0.5000 0.5000 0.3228
0.5000 0.5000 0.6772
0.0000 0.0000 0.5000

Record 18
TlInHgBr PBE-GGA relaxed; ΔE_f (raw) = -0.2131 eV/atom; mass density = 8.0 g cm⁻³
1.0
0.0000 3.9569 3.9569
3.9569 0.0000 3.9569
3.9569 3.9569 0.0000
Tl In Hg Br
1 1 1 1
direct
0.0000 0.0000 0.0000
0.5000 0.5000 0.5000
0.7500 0.7500 0.7500
0.2500 0.2500 0.2500

Record 19
TaCrRe2 PBE-GGA relaxed; energy relative to the elements = 0.0 eV/f.u.; mass density = 16.7 g cm⁻³
1.0
1.5672 -2.2166 0.0000
1.5672 2.2166 0.0000
0.0000 0.0000 8.6466
Ta Cr Re
1 1 2
direct
0.0000 0.0000 0.0000
0.0000 0.0000 0.5000
0.5000 0.5000 0.2656
0.5000 0.5000 0.7344

Record 20
BaCaCr2 PBE-GGA relaxed; relative energy among the computed polymorphs = 464 meV per atom; energy relative to the elements = 3.8 eV/f.u.; mass density = 3.4 g cm⁻³
1.0
5.1694 -1.9113 0.0000
5.1694 1.9113 0.0000
-1.6079 0.0000 6.9605
Ba Ca Cr
1 1 2
direct
0.0000 0.0000 0.0000
0.5000 0.5000 0.5000
0.2467 0.2467 0.6678
0.7533 0.7533 0.3322